1.
First-principles (PBE-GGA) data for a geometry-optimized Ac4SiSe2Br structure, as listed in Alexandria via LeMat-Bulk.

Properties
The formation energy (no corrections) is -1436 meV/atom. Its total moment is 0.0 μB per formula unit. For the density of states at the Fermi level, the calculation gives 0.5810 states/eV/atom. The uncorrected energy comes out at -0.386 Ry/atom.

abc: 4.5159 7.7840 7.8713
angles: 70.83 90.00 90.00
Closest atoms and distances in Å follow each position.
Sites, in units of the cell vectors:
Ac1 0.0000 0.7568 0.7288  1 Si 3.10, 3 Se 3.11-3.29, 2 Br 3.29
Ac2 0.0000 0.2432 0.2712  1 Si 3.10, 3 Se 3.11-3.29, 2 Br 3.29
Ac3 0.5000 0.7442 0.2675  3 Se 3.12-3.28, 2 Si 3.13, 1 Br 3.27
Ac4 0.5000 0.2558 0.7325  3 Se 3.12-3.28, 2 Si 3.13, 1 Br 3.27
Si1 0.0000 0.5000 0.5000  6 Ac 3.10-3.13
Se1 0.0000 0.0000 0.0000  6 Ac 3.28-3.29
Se2 0.5000 0.0000 0.5000  6 Ac 3.11-3.12
Br1 0.5000 0.5000 0.0000  6 Ac 3.27-3.29


2.
First-principles (PBE-GGA) data for a geometry-optimized KTcAg2 structure, as listed in Alexandria via LeMat-Bulk.

Properties
Its total moment is 3.2 μB per formula unit. For the formation energy from the elements, the calculation gives 4.0 eV per formula unit. For the density of states at the Fermi level, the calculation gives 0.6420 states/eV/atom. The uncorrected energy comes out at -0.242 Ry/atom.

abc: 5.0067 5.0067 5.0067
angles: 60.00 60.00 60.00
Closest atoms and distances in Å follow each position.
Sites, in units of the cell vectors:
K1 0.0000 0.0000 0.0000  8 Ag 3.07
Tc1 0.5000 0.5000 0.5000  8 Ag 3.07
Ag1 0.2500 0.2500 0.2500  4 Tc 3.07, 4 K 3.07
Ag2 0.7500 0.7500 0.7500  4 K 3.07, 4 Tc 3.07


3.
First-principles (PBE-GGA) data for a geometry-optimized KCu2I4 structure, as listed in Alexandria via LeMat-Bulk.

Properties
The formation energy (no corrections) is -438 meV/atom. Its total moment is 0.0 μB per formula unit. For the density of states at the Fermi level, the calculation gives 0.6204 states/eV/atom. The uncorrected energy comes out at -0.195 Ry/atom.

abc: 7.7326 7.7444 12.3435
angles: 126.95 91.23 89.69
Closest atoms and distances in Å follow each position.
Sites, in units of the cell vectors:
K1 0.1247 0.6245 0.5000  8 I 3.69-3.74
K2 0.1254 0.1253 0.0000  8 I 3.71-3.77
Cu1 0.6248 0.3717 0.7474  4 I 2.67-2.68
Cu2 0.6252 0.8782 0.2522  4 I 2.67-2.68
Cu3 0.6252 0.3784 0.2525  4 I 2.65-2.66
Cu4 0.1247 0.3719 0.7479  4 I 2.65-2.66
I1 0.8625 0.1284 0.2512  2 Cu 2.65-2.68
I2 0.3879 0.6264 0.2516  2 Cu 2.65-2.68
I3 0.8757 0.6122 0.7516  2 Cu 2.65-2.68
I4 0.8764 0.1289 0.7411  2 Cu 2.66-2.67
I5 0.3886 0.1358 0.2583  2 Cu 2.66-2.67
I6 0.3740 0.1330 0.7455  2 Cu 2.65-2.68
I7 0.3730 0.6163 0.7561  2 Cu 2.66-2.67
I8 0.8619 0.6191 0.2446  2 Cu 2.66-2.67


4.
First-principles (PBE-GGA) data for a geometry-optimized Ga3Si2Rh4 structure, as listed in Alexandria via LeMat-Bulk.

Properties
The formation energy (no corrections) is -524 meV/atom. Its total moment is 0.0 μB per formula unit. For the density of states at the Fermi level, the calculation gives 0.3713 states/eV/atom. The uncorrected energy comes out at -0.441 Ry/atom.

abc: 4.6145 7.7569 7.7569
angles: 72.09 91.32 91.32
Closest atoms and distances in Å follow each position.
Sites, in units of the cell vectors:
Ga1 0.9875 0.0115 0.1957  6 Rh 2.57-2.87, 1 Si 2.73, 2 Ga 2.86
Ga2 0.5125 0.8043 0.9885  6 Rh 2.57-2.87, 1 Si 2.73, 2 Ga 2.86
Ga3 0.0125 0.9885 0.8043  6 Rh 2.57-2.87, 1 Si 2.73, 2 Ga 2.86
Ga4 0.4875 0.1957 0.0115  6 Rh 2.57-2.87, 1 Si 2.73, 2 Ga 2.86
Ga5 0.2500 0.5483 0.4517  2 Ga 2.47, 4 Rh 2.54-2.64
Ga6 0.7500 0.4517 0.5483  2 Ga 2.47, 4 Rh 2.54-2.64
Si1 0.5109 0.1415 0.3760  5 Rh 2.32-2.50, 1 Si 2.43
Si2 0.9891 0.6240 0.8585  5 Rh 2.32-2.50, 1 Si 2.43
Si3 0.4891 0.8585 0.6240  5 Rh 2.32-2.50, 1 Si 2.43
Si4 0.0109 0.3760 0.1415  5 Rh 2.32-2.50, 1 Si 2.43
Rh1 0.4852 0.8717 0.2978  2 Si 2.35-2.50, 3 Ga 2.57-2.61
Rh2 0.0148 0.7022 0.1283  2 Si 2.35-2.50, 3 Ga 2.57-2.61
Rh3 0.5148 0.1283 0.7022  2 Si 2.35-2.50, 3 Ga 2.57-2.61
Rh4 0.9852 0.2978 0.8717  2 Si 2.35-2.50, 3 Ga 2.57-2.61
Rh5 0.0128 0.2151 0.4481  3 Si 2.32-2.50, 1 Ga 2.54
Rh6 0.4872 0.5519 0.7849  3 Si 2.32-2.50, 1 Ga 2.54
Rh7 0.9872 0.7849 0.5519  3 Si 2.32-2.50, 1 Ga 2.54
Rh8 0.5128 0.4481 0.2151  3 Si 2.32-2.50, 1 Ga 2.54


5.
First-principles (PBE-GGA) data for a geometry-optimized Ti2CoNi7Sb2 structure, as listed in Alexandria via LeMat-Bulk.

Properties
The formation energy (no corrections) is -66 meV/atom. Its total moment is 2.5 μB per formula unit. For the density of states at the Fermi level, the calculation gives 1.0020 states/eV/atom. The uncorrected energy comes out at -0.443 Ry/atom.

abc: 3.4153 3.4153 14.7976
angles: 83.40 83.40 89.99
Closest atoms and distances in Å follow each position.
Sites, in units of the cell vectors:
Ti1 0.6234 0.6234 0.7517  4 Ni 2.47
Ti2 0.3766 0.3766 0.2483  4 Ni 2.47
Co1 0.0000 0.0000 0.0000  12 Ni 2.41-2.51
Ni1 0.5000 0.5000 0.0000  4 Co 2.41-2.42, 8 Ni 2.51
Ni2 0.2740 0.2740 0.4528  5 Sb 2.54-2.68, 4 Ni 2.78
Ni3 0.7260 0.7260 0.5472  5 Sb 2.54-2.68, 4 Ni 2.78
Ni4 0.9375 0.4374 0.1259  6 Ni 2.41-2.51, 2 Ti 2.47, 2 Co 2.51
Ni5 0.4374 0.9375 0.1259  6 Ni 2.41-2.51, 2 Ti 2.47, 2 Co 2.51
Ni6 0.5626 0.0625 0.8741  6 Ni 2.41-2.51, 2 Ti 2.47, 2 Co 2.51
Ni7 0.0625 0.5626 0.8741  6 Ni 2.41-2.51, 2 Ti 2.47, 2 Co 2.51
Sb1 0.8138 0.8138 0.3733  5 Ni 2.54-2.68
Sb2 0.1862 0.1862 0.6267  5 Ni 2.54-2.68


6.
First-principles (PBE-GGA) data for a geometry-optimized ThBe17Co structure, as listed in Alexandria via LeMat-Bulk.

Properties
Its total moment is 0.0 μB per formula unit. For the formation energy from the elements, the calculation gives 0.7 eV per formula unit. For the density of states at the Fermi level, the calculation gives 0.3288 states/eV/atom. The uncorrected energy comes out at -0.298 Ry/atom.

abc: 5.7471 5.7471 5.7471
angles: 83.50 83.50 83.50
Closest atoms and distances in Å follow each position.
Sites, in units of the cell vectors:
Th1 0.6519 0.6519 0.6519  19 Be 2.80-2.94
Be1 0.2862 0.0142 0.7074  5 Be 2.08-2.32
Be2 0.7074 0.2862 0.0142  5 Be 2.08-2.32
Be3 0.0142 0.7074 0.2862  5 Be 2.08-2.32
Be4 0.2862 0.7074 0.0142  5 Be 2.08-2.32
Be5 0.0142 0.2862 0.7074  5 Be 2.08-2.32
Be6 0.7074 0.0142 0.2862  5 Be 2.08-2.32
Be7 0.3352 0.8846 0.3352  9 Be 2.15-2.35, 1 Co 2.40
Be8 0.3352 0.3352 0.8846  9 Be 2.15-2.35, 1 Co 2.40
Be9 0.8846 0.3352 0.3352  9 Be 2.15-2.35, 1 Co 2.40
Be10 0.6557 0.1547 0.6557  9 Be 2.18-2.40
Be11 0.6557 0.6557 0.1547  9 Be 2.18-2.40
Be12 0.1547 0.6557 0.6557  9 Be 2.18-2.40
Be13 0.9953 0.5070 0.9953  10 Be 2.15-2.38
Be14 0.9953 0.9953 0.5070  10 Be 2.15-2.38
Be15 0.5070 0.9953 0.9953  10 Be 2.15-2.38
Be16 0.9073 0.9073 0.9073  4 Be 2.12-2.31
Be17 0.0994 0.0994 0.0994  4 Be 2.12-2.20, 1 Co 2.29
Co1 0.3069 0.3069 0.3069  4 Be 2.29-2.40


7.
First-principles (PBE-GGA) data for a geometry-optimized SmGdF structure, as listed in Alexandria via LeMat-Bulk.

Properties
The formation energy (no corrections) is -1547 meV/atom. Its total moment is 7.2 μB per formula unit. For the density of states at the Fermi level, the calculation gives 0.9296 states/eV/atom. The uncorrected energy comes out at -0.620 Ry/atom.

abc: 3.7951 3.7951 5.6883
angles: 90.00 90.00 120.00
Closest atoms and distances in Å follow each position.
Sites, in units of the cell vectors:
Gd1 0.0000 0.0000 0.9157  3 F 2.60
Sm1 0.6667 0.3333 0.4137  3 F 2.63
F1 0.3333 0.6667 0.6706  3 Gd 2.60, 3 Sm 2.63


8.
First-principles (PBE-GGA) data for a geometry-optimized MgInAu2 structure, as listed in Alexandria via LeMat-Bulk.

Properties
Its total moment is 0.0 μB per formula unit. For the formation energy from the elements, the calculation gives -1.4 eV per formula unit. For the density of states at the Fermi level, the calculation gives 0.2486 states/eV/atom. The uncorrected energy comes out at -0.226 Ry/atom.

abc: 5.1589 5.1589 4.6895
angles: 77.80 77.80 40.37
Closest atoms and distances in Å follow each position.
Sites, in units of the cell vectors:
Mg1 0.7427 0.7427 0.8015  7 Au 2.82-3.00, 1 In 3.10
Au1 0.0086 0.0086 0.9537  3 Mg 2.82-2.84, 4 In 2.93-2.96, 1 Au 3.05
Au2 0.2461 0.2461 0.2837  3 In 2.79-2.92, 4 Mg 2.88-3.00, 1 Au 3.05
In1 0.5025 0.5025 0.4611  7 Au 2.79-2.96, 1 Mg 3.10


9.
First-principles (PBE-GGA) data for a geometry-optimized FeMo2Br structure, as listed in Alexandria via LeMat-Bulk.

Properties
The formation energy (no corrections) is 636 meV/atom. Its total moment is 1.4 μB per formula unit. For the density of states at the Fermi level, the calculation gives 1.1807 states/eV/atom. The uncorrected energy comes out at -0.538 Ry/atom.

abc: 8.5982 8.5982 8.5982
angles: 19.73 19.73 19.73
Closest atoms and distances in Å follow each position.
Sites, in units of the cell vectors:
Br1 0.2500 0.2500 0.2500  6 Mo 2.80, 6 Br 2.95
Fe1 0.7500 0.7500 0.7500  6 Mo 2.62
Mo1 0.0047 0.0047 0.0047  3 Fe 2.62, 3 Br 2.80
Mo2 0.4953 0.4953 0.4953  3 Fe 2.62, 3 Br 2.80


10.
First-principles (PBE-GGA) data for a geometry-optimized ZrTaCo3 structure, as listed in Alexandria via LeMat-Bulk.

Properties
Its total moment is 0.0 μB per formula unit. For the formation energy from the elements, the calculation gives 4.3 eV per formula unit. For the density of states at the Fermi level, the calculation gives 1.2217 states/eV/atom. The uncorrected energy comes out at -0.550 Ry/atom.

abc: 4.4318 4.4318 4.4318
angles: 90.00 90.00 90.00
Closest atoms and distances in Å follow each position.
Sites, in units of the cell vectors:
Co1 0.0000 0.5000 0.0000  2 Ta 2.22
Co2 0.0000 0.0000 0.5000  2 Ta 2.22
Co3 0.5000 0.0000 0.0000  2 Ta 2.22
Zr1 0.5000 0.5000 0.5000  12 Co 3.13
Ta1 0.0000 0.0000 0.0000  6 Co 2.22


11.
First-principles (PBE-GGA) data for a geometry-optimized InSi2Sb structure, as listed in Alexandria via LeMat-Bulk.

Properties
The formation energy (no corrections) is 532 meV/atom. Its total moment is 0.0 μB per formula unit. For the density of states at the Fermi level, the calculation gives 0.9130 states/eV/atom. The uncorrected energy comes out at -0.286 Ry/atom.

abc: 4.9401 4.9401 4.9401
angles: 60.00 60.00 60.00
Closest atoms and distances in Å follow each position.
Sites, in units of the cell vectors:
Sb1 0.5000 0.5000 0.5000  8 Si 3.03
Si1 0.2500 0.2500 0.2500  4 Sb 3.03, 4 In 3.03
Si2 0.7500 0.7500 0.7500  4 Sb 3.03, 4 In 3.03
In1 0.0000 0.0000 0.0000  8 Si 3.03


12.
First-principles (PBE-GGA) data for a geometry-optimized NaMgHgGe structure, as listed in Alexandria via LeMat-Bulk.

Properties
Its total moment is 0.0 μB per formula unit. For the formation energy from the elements, the calculation gives -0.4 eV per formula unit. For the density of states at the Fermi level, the calculation gives 0.7340 states/eV/atom. The uncorrected energy comes out at -0.151 Ry/atom.

abc: 4.9537 4.9537 4.9537
angles: 60.00 60.00 60.00
Closest atoms and distances in Å follow each position.
Sites, in units of the cell vectors:
Mg1 0.0000 0.0000 0.0000  4 Ge 3.03, 4 Hg 3.03
Na1 0.5000 0.5000 0.5000  4 Hg 3.03, 4 Ge 3.03
Ge1 0.2500 0.2500 0.2500  4 Na 3.03, 4 Mg 3.03
Hg1 0.7500 0.7500 0.7500  4 Na 3.03, 4 Mg 3.03